No. 1
The following is a PBE calculation of crystalline Zn2CdSn2 at its relaxed geometry, from OQMD.

The structure in extended XYZ format:
```
5
Lattice="-2.200 2.200 6.185 2.200 -2.200 6.185 2.200 2.200 -6.185" Properties=species:S:1:pos:R:3 pbc="T T T"
Cd 0.000 0.000 0.000
Sn 0.000 0.000 4.759
Sn 0.000 0.000 7.610
Zn 0.000 2.200 3.092
Zn 2.200 0.000 3.092
```

---

No. 2
The following is a PBE calculation of crystalline ZnCd2Sn at its relaxed geometry, from OQMD.

The structure in extended XYZ format:
```
4
Lattice="4.506 -0.555 2.157 0.348 -1.889 4.645 1.898 -4.600 0.707" Properties=species:S:1:pos:R:3 pbc="T T T"
Cd 0.000 0.000 0.000
Cd 5.064 -5.283 5.631
Sn 3.376 -3.522 3.754
Zn 1.688 -1.761 1.877
```

---

Number 1: raw total energy -2.14 eV per atom. Number 2: raw total energy -1.64 eV per atom.